4
Lattice="4.417 0.000 0.000 2.208 3.825 0.000 2.208 1.275 5.136" Properties=species:S:1:pos:R:3 comment="AlGa2Hg, optimized geometry, DFT PBE" e_above_lowest_polymorph_ev_per_atom=0.0496 density_g_cm3=7.024 ef_kcal_per_mol_atoms=2.67 energy_ev_per_atom=-2.4088 pbc="T T T"
Ga 2.208 1.275 1.031
Al 6.625 3.825 4.967
Hg 4.417 2.550 2.660
Ga 2.208 1.275 4.181